# Y4AlSe2 PBE optimized geometry
# Fermi-level density of states, states/eV per cell: 10.80
# Uncorrected formation energy, meV/atom: -516
# Total magnetization, μB per atom: 0.000
# Calculated volume, A^3/atom: 30.77
# Electronic total energy, eV/atom: -5.7405
data_Y4AlSe2
_symmetry_space_group_name_H-M 'I 4/m m m'
_symmetry_Int_Tables_number 139
_symmetry_space_group_name_Hall '-I 4 2'
_cell_length_a 5.453
_cell_length_b 5.453
_cell_length_c 14.491
_cell_angle_alpha 90.00
_cell_angle_beta 90.00
_cell_angle_gamma 90.00
loop_
_atom_site_label
_atom_site_type_symbol
_atom_site_fract_x
_atom_site_fract_y
_atom_site_fract_z
Y1 Y 0.000 0.000 0.201
Y2 Y 0.000 0.500 0.000
Al1 Al 0.000 0.000 0.000
Se1 Se 0.000 0.000 0.389